No. 1
This record from Alexandria describes crystalline Ni2OsSe at its relaxed geometry. The functional is PBE-GGA.

Properties
Space group = R3m (160)
Formation energy without anion corrections = 0.423 eV/atom
Energy = -6.15 eV/atom

Lattice parameters (Å, degrees): 7.9101 7.9101 7.9101 20.71 20.71 20.71
Fractional coordinates of all 4 atoms:
Ni 0.0016 0.0016 0.0016
Ni 0.2518 0.2518 0.2518
Os 0.5009 0.5009 0.5009
Se 0.7458 0.7458 0.7458

=====

No. 2
This record from Alexandria describes crystalline Ac3Hg3Rh2 at its relaxed geometry. The functional is PBE-GGA.

Properties
Space group = Pnma (62)
ΔH_f (0 K) = -0.521 eV per atom
Energy = -4.01 eV/atom

Lattice parameters (Å, degrees): 5.9936 7.9548 18.3592 90.00 90.00 90.00
Fractional coordinates of all 32 atoms:
Ac 0.1185 0.4558 0.3948
Ac 0.6185 0.0442 0.6052
Ac 0.8815 0.5442 0.8948
Ac 0.3815 0.9558 0.1052
Ac 0.8815 0.5442 0.6052
Ac 0.3815 0.9558 0.3948
Ac 0.1185 0.4558 0.1052
Ac 0.6185 0.0442 0.8948
Ac 0.6656 0.3356 0.2500
Ac 0.1656 0.1644 0.7500
Ac 0.3344 0.6644 0.7500
Ac 0.8344 0.8356 0.2500
Hg 0.1698 0.1694 0.2500
Hg 0.6698 0.3306 0.7500
Hg 0.8302 0.8306 0.7500
Hg 0.3302 0.6694 0.2500
Hg 0.6093 0.3216 0.4660
Hg 0.1093 0.1784 0.5340
Hg 0.3907 0.6784 0.9660
Hg 0.8907 0.8216 0.0340
Hg 0.3907 0.6784 0.5340
Hg 0.8907 0.8216 0.4660
Hg 0.6093 0.3216 0.0340
Hg 0.1093 0.1784 0.9660
Rh 0.8837 0.1151 0.3740
Rh 0.3837 0.3849 0.6260
Rh 0.1163 0.8849 0.8740
Rh 0.6163 0.6151 0.1260
Rh 0.1163 0.8849 0.6260
Rh 0.6163 0.6151 0.3740
Rh 0.8837 0.1151 0.1260
Rh 0.3837 0.3849 0.8740